DFT (meta-GGA SCAN) results for a crystal of ScSb2Te relaxed with PBEsol.

Results
- SG = Cm (8)
- ΔE_f (raw) (eV/atom) = -0.3182
- total DFT energy (no corrections) (eV/atom) = -31.821
- DOS(E_F) (states/eV/atom) = 0.597
- total magnetization (μB per formula unit) = 0.000

abc: 5.558 5.558 5.487
angles: 98.31 98.31 37.22
Fractional positions:
Sc1 0.000 0.000 0.000
Sb1 0.503 0.503 0.492
Sb2 0.726 0.726 0.225
Te1 0.287 0.287 0.797